La3Pu | GGA-PBE | relaxed

Values from the calculation:
- magnetic moment (μB/atom) = 1.663
- ρ (g/cm3) = 8.0
- E_form (eV/f.u.) = 0.6

Unit cell a=3.6739 b=5.8950 c=6.3346 alpha=90.00 beta=90.00 gamma=90.00
Closest atoms and distances in Å follow each position.
Element x y z (fractional)
La 0.0000 0.0000 0.0000  4 Pu 3.61-3.71, 8 La 3.63-3.67
La 0.0000 0.5000 0.3461  8 La 3.59-3.73, 4 Pu 3.62
La 0.5000 0.5000 0.8337  10 La 3.59-3.73, 2 Pu 3.59
Pu 0.5000 0.0000 0.5091  10 La 3.59-3.71, 2 Pu 3.67